A plane-wave DFT calculation with GGA-PBE was carried out for crystalline MgScAs at its relaxed geometry.

Properties
The calculation puts the final energy at -14.0 eV/cell. Its excess energy over the best structure of this formula in the dataset is 0.231 eV per atom. For the energy of formation from the pure elements, the calculation gives -0.463 eV/atom.

Unit cell a=6.1410 b=6.1410 c=6.1410 alpha=150.44 beta=146.06 gamma=45.62
With the nearest neighbours (Å) after each atom.
Fractional coordinates of all 3 atoms:
Mg: 0.0000 0.0000 0.0000  4 As 2.96, 2 Mg 3.13, 1 Sc 3.26
Sc: 0.7117 0.7117 0.0000  4 As 2.82, 2 Sc 3.13
As: 0.3450 0.3450 0.0000  4 Sc 2.82, 4 Mg 2.96, 2 As 3.13

---

A plane-wave DFT calculation with GGA-PBE was carried out for crystalline MgScAs at its relaxed geometry.

Properties
The calculation puts the final energy at -14.0 eV/cell. Its excess energy over the best structure of this formula in the dataset is 0.219 eV per atom. For the energy of formation from the pure elements, the calculation gives -0.474 eV/atom.

Unit cell a=4.5054 b=4.5054 c=4.5054 alpha=60.00 beta=60.00 gamma=60.00
With the nearest neighbours (Å) after each atom.
Fractional coordinates of all 3 atoms:
Mg: 0.0000 0.0000 0.0000  4 As 2.76
Sc: 0.5000 0.5000 0.5000  4 As 2.76
As: 0.7500 0.7500 0.7500  4 Sc 2.76, 4 Mg 2.76

---

Per-record magnetic moment, μB/f.u.: 0.0, 0.0